Record 1
# GGA-PBE Mg8Sn2Pt, optimized geometry
data_Mg8Sn2Pt
_cell_length_a 16.031
_cell_length_b 4.794
_cell_length_c 6.843
_cell_angle_alpha 90.00
_cell_angle_beta 112.96
_cell_angle_gamma 90.00
_space_group_name_H-M_alt 'C 1 2/m 1'
_space_group_IT_number 12
_space_group_name_Hall '-C 2y'
loop_
_atom_site_label
_atom_site_fract_x
_atom_site_fract_y
_atom_site_fract_z
Mg1 0.015 0.000 0.297
Mg2 0.107 0.500 0.906
Mg3 0.149 0.500 0.418
Mg4 0.184 0.000 0.734
Sn1 0.180 0.000 0.177
Pt1 0.000 0.500 0.500
# * ρ: 4.30 Mg/m³
# * N(E_F): 7.49 states/eV/cell
# * total moment: 0.0 μB per cell
# * ΔH_f (0 K): -284 meV per atom

=====

Record 2
# GGA-PBE Mg2Sn3Pt, optimized geometry
data_Mg2Sn3Pt
_cell_length_a 4.636
_cell_length_b 17.629
_cell_length_c 3.364
_cell_angle_alpha 90.00
_cell_angle_beta 90.00
_cell_angle_gamma 90.00
_space_group_name_H-M_alt 'C m m m'
_space_group_IT_number 65
_space_group_name_Hall '-C 2 2'
loop_
_atom_site_label
_atom_site_fract_x
_atom_site_fract_y
_atom_site_fract_z
Mg1 0.000 0.124 0.000
Sn1 0.000 0.307 0.500
Sn2 0.000 0.500 0.000
Pt1 0.000 0.000 0.500
# * ρ: 7.25 Mg/m³
# * N(E_F): 4.59 states/eV/cell
# * total moment: 0.0 μB per cell
# * ΔH_f (0 K): -243 meV per atom

=====

Record 3
# GGA-PBE MgSn2Pt2, optimized geometry
data_MgSn2Pt2
_cell_length_a 4.866
_cell_length_b 4.866
_cell_length_c 9.800
_cell_angle_alpha 90.00
_cell_angle_beta 90.00
_cell_angle_gamma 90.00
_space_group_name_H-M_alt 'I 4/m m m'
_space_group_IT_number 139
_space_group_name_Hall '-I 4 2'
loop_
_atom_site_label
_atom_site_fract_x
_atom_site_fract_y
_atom_site_fract_z
Mg1 0.000 0.000 0.000
Sn1 0.000 0.000 0.358
Pt1 0.000 0.500 0.250
# * ρ: 9.33 Mg/m³
# * N(E_F): 4.28 states/eV/cell
# * total moment: 0.0 μB per cell
# * ΔH_f (0 K): -241 meV per atom
# * energy relative to the lowest polymorph listed for this composition: 381.0 meV per atom